Entry 1:
Compound: BeSbPt2
Source: Alexandria via LeMat-Bulk
Functional: PBE-GGA
Structure: relaxed

Unit cell a=3.6828 b=3.6828 c=6.0580 alpha=72.10 beta=72.10 gamma=60.23
With the nearest neighbours (Å) after each atom.
Atoms (fractional coordinates):
Sb 0.7500 0.7500 0.7500  6 Pt 2.83-2.84
Pt 0.9737 0.9737 0.0796  3 Be 2.34
Be 0.2500 0.2500 0.2500  6 Pt 2.34
Pt 0.5263 0.5263 0.4204  3 Be 2.34

The relative energy among the computed polymorphs is 0.814 kcal/mol of atoms. For the energy relative to the elements, uncorrected, the calculation gives -0.371 eV per atom. Its symmetry is No. 12. The value obtained for the calculated volume is 16.67 A^3/atom.

---

Entry 2:
Compound: BeCd2Fe
Source: Alexandria via LeMat-Bulk
Functional: PBE-GGA
Structure: relaxed

Unit cell a=3.1949 b=2.9027 c=6.9104 alpha=78.26 beta=90.00 gamma=90.00
With the nearest neighbours (Å) after each atom.
Atoms (fractional coordinates):
Cd 0.5000 0.1655 0.2919  1 Be 2.48
Be 0.5000 0.9855 0.6586  4 Fe 2.21
Cd 0.0000 0.8298 0.9609  2 Be 2.60, 1 Fe 2.89, 2 Cd 2.90
Fe 0.0000 0.5192 0.5886  4 Be 2.21

The value obtained for the formation energy from the elements is 231 meV per atom. Its symmetry is No. 6. The value obtained for the calculated volume is 15.69 A^3/atom.

---

Entry 3:
Compound: InTc2Te
Source: Alexandria via LeMat-Bulk
Functional: PBE-GGA
Structure: relaxed

Unit cell a=3.0626 b=3.0627 c=8.3887 alpha=90.00 beta=90.00 gamma=90.00
With the nearest neighbours (Å) after each atom.
Atoms (fractional coordinates):
Tc 0.0000 0.0000 0.0345  4 Tc 2.67, 4 In 2.91
In 0.5000 0.5000 0.8031  4 Tc 2.91, 4 In 3.06
Tc 0.5000 0.5000 0.2201  4 Tc 2.67, 4 Te 2.86
Te 0.0000 0.0000 0.4423  4 Tc 2.86, 4 Te 3.06

The relative energy among the computed polymorphs is 0.000 kcal/mol of atoms. For the energy relative to the elements, uncorrected, the calculation gives 0.196 eV per atom. Its symmetry is No. 99. The value obtained for the calculated volume is 19.67 A^3/atom.

---

Entry 4:
Compound: Pr6Tl2Ru
Source: Alexandria via LeMat-Bulk
Functional: PBE-GGA
Structure: relaxed

Unit cell a=3.9634 b=8.9939 c=8.9811 alpha=120.05 beta=90.00 gamma=90.00
With the nearest neighbours (Å) after each atom.
Atoms (fractional coordinates):
Pr 0.0000 0.2398 0.0000  2 Ru 2.91
Ru 0.5000 0.0035 0.0000  6 Pr 2.91-2.93
Pr 0.5000 0.6025 0.0000  4 Tl 3.40, 1 Ru 3.61, 4 Pr 3.68
Pr 0.5000 0.3956 0.3961  4 Tl 3.39-3.40, 1 Ru 3.54, 4 Pr 3.68-3.69
Tl 0.0000 0.6666 0.3343  9 Pr 3.39-3.51
Pr 0.5000 0.9995 0.6039  4 Tl 3.39-3.40, 1 Ru 3.54, 4 Pr 3.68-3.69
Pr 0.0000 0.9986 0.2372  2 Ru 2.93
Tl 0.0000 0.3323 0.6657  9 Pr 3.39-3.51
Pr 0.0000 0.7615 0.7628  2 Ru 2.93

The value obtained for the formation energy from the elements is -259 meV per atom. Its symmetry is No. 38. The value obtained for the calculated volume is 30.79 A^3/atom.

---

> calculated volume of number 4 (Pr6Tl2Ru)?

30.79 A^3/atom

---

> What is the calculated volume in the fourth record?

30.79 A^3/atom

---

> Among the records above, which one has the highest calculated volume?

Pr6Tl2Ru